# 1
{"formula": "LaAl2GeC", "functional": "PBE-GGA", "state": "optimized geometry", "lattice_angstrom": [[4.2487, 0.0000, 0.0000], [0.0000, 5.3053, 0.0000], [0.0000, 0.0000, 4.2487]], "species": ["La", "C", "Ge", "Al", "Al"], "fractional_positions": [[0.5000, 0.5000, 0.5000], [0.0000, 0.0000, 0.0000], [0.0000, 0.5000, 0.0000], [0.5000, 0.0000, 0.0000], [0.0000, 0.0000, 0.5000]], "delta_e_f_kj_per_mol_fu": 140, "dos_at_fermi_per_ev_cell": 3.76}


# 2
{"formula": "CrOs3Cl", "functional": "PBE-GGA", "state": "optimized geometry", "lattice_angstrom": [[-2.9697, -3.1447, -0.3553], [0.9077, -1.3132, 4.0356], [-3.0318, 2.6872, 1.5564]], "species": ["Cl", "Os", "Os", "Cr", "Os"], "fractional_positions": [[0.0000, 0.0000, 0.0000], [0.0000, 0.5000, 0.0000], [0.0000, 0.0000, 0.5000], [0.5000, 0.5000, 0.5000], [0.5000, 0.0000, 0.0000]], "e_form_raw_ev_per_atom": 1.888, "dos_at_fermi_per_ev_cell": 6.10}


# 3
{"formula": "CsErMnBr6", "functional": "PBE-GGA", "state": "optimized geometry", "lattice_angstrom": [[7.1649, 0.0015, 0.0012], [3.5838, 6.2050, -0.0014], [0.0016, -0.0027, 8.1697]], "species": ["Er", "Mn", "Cs", "Br", "Br", "Br", "Br", "Br", "Br"], "fractional_positions": [[0.3333, 0.3333, 0.5000], [0.6665, 0.6666, 0.5000], [0.9999, 0.9999, 0.0000], [0.9921, 0.3813, 0.3053], [0.6271, 0.9915, 0.3055], [0.9915, 0.6270, 0.6945], [0.3812, 0.9921, 0.6947], [0.6268, 0.3814, 0.6944], [0.3814, 0.6268, 0.3055]], "e_form_raw_ev_per_atom": -1.520, "dos_at_fermi_per_ev_cell": 0.00}


# 4
{"formula": "Zr3As2P", "functional": "PBE-GGA", "state": "optimized geometry", "lattice_angstrom": [[-0.5901, 3.2678, -1.8913], [3.3950, -1.6177, -3.8544], [-5.8249, -3.2814, 0.0085]], "species": ["Zr", "Zr", "As", "P", "As", "Zr"], "fractional_positions": [[0.1515, 0.6515, 0.8029], [0.8485, 0.3485, 0.1971], [0.1717, 0.1717, 0.8435], [0.5000, 0.5000, 0.5000], [0.8283, 0.8283, 0.1565], [0.5000, 0.0000, 0.5000]], "delta_e_f_kj_per_mol_fu": -681, "dos_at_fermi_per_ev_cell": 2.34}


# 5
{"formula": "NpMnOs", "functional": "PBE-GGA", "state": "optimized geometry", "lattice_angstrom": [[-1.0929, -2.3627, 3.2317], [1.7062, -3.4899, -1.9810], [4.2349, 6.5390, 1.7137]], "species": ["Os", "Mn", "Np", "Mn", "Os", "Np"], "fractional_positions": [[0.5632, 0.9927, 0.2424], [0.8153, 0.7162, 0.9664], [0.8879, 0.4226, 0.6724], [0.1847, 0.2838, 0.0336], [0.4368, 0.0073, 0.7576], [0.1121, 0.5774, 0.3276]], "delta_e_f_kj_per_mol_fu": 62, "dos_at_fermi_per_ev_cell": 9.31}


# 6
{"formula": "Hf2Zr3Tl2", "functional": "PBE-GGA", "state": "optimized geometry", "lattice_angstrom": [[-4.2567, -2.1482, 0.3709], [1.4290, -2.7480, 0.4837], [-2.1425, 0.7818, 10.7722]], "species": ["Hf", "Zr", "Zr", "Zr", "Tl", "Tl", "Hf"], "fractional_positions": [[0.2779, 0.5000, 0.4442], [0.8529, 0.0000, 0.2942], [0.0000, 0.0000, 0.0000], [0.1471, 0.0000, 0.7058], [0.4248, 0.5000, 0.1503], [0.5752, 0.5000, 0.8497], [0.7221, 0.5000, 0.5558]], "delta_e_f_kj_per_mol_fu": 34, "dos_at_fermi_per_ev_cell": 8.10}


# 7
{"formula": "As2IrSe", "functional": "PBE-GGA", "state": "optimized geometry", "lattice_angstrom": [[-2.2265, 0.9651, 1.6360], [-0.0838, -2.5685, 1.4011], [5.8808, 3.1578, 6.1405]], "species": ["As", "Ir", "Se", "As"], "fractional_positions": [[0.0000, 0.0000, 0.0622], [0.5000, 0.5000, 0.2500], [0.5000, 0.5000, 0.7500], [0.0000, 0.0000, 0.4378]], "e_form_raw_ev_per_atom": 0.142, "dos_at_fermi_per_ev_cell": 2.92}


# 8
{"formula": "Ce3SmY2Te6", "functional": "PBE-GGA", "state": "optimized geometry", "lattice_angstrom": [[-5.7164, 3.4230, -3.7513], [4.2912, -5.2571, -3.5235], [-4.1399, -4.6507, 4.6618]], "species": ["Te", "Te", "Sm", "Te", "Te", "Ce", "Ce", "Y", "Te", "Ce", "Y", "Te"], "fractional_positions": [[0.0811, 0.4187, 0.2427], [0.9189, 0.5813, 0.7573], [0.0000, 0.0000, 0.0000], [0.7419, 0.7419, 0.2396], [0.5813, 0.9189, 0.7573], [0.8362, 0.1638, 0.5000], [0.1638, 0.8362, 0.5000], [0.6672, 0.3328, 0.0000], [0.2581, 0.2581, 0.7604], [0.5000, 0.5000, 0.5000], [0.3328, 0.6672, 0.0000], [0.4187, 0.0811, 0.2427]], "e_form_raw_ev_per_atom": -1.362, "dos_at_fermi_per_ev_cell": 23.15}


# 9
{"formula": "MgCd4Ga", "functional": "PBE-GGA", "state": "optimized geometry", "lattice_angstrom": [[-4.3567, 6.7281, -1.8130], [-6.3406, 4.3551, -2.8922], [-0.9390, -1.4659, 4.9492]], "species": ["Cd", "Cd", "Cd", "Mg", "Cd", "Ga"], "fractional_positions": [[0.1645, 0.1645, 0.5034], [0.3364, 0.3364, 0.9976], [0.8355, 0.8355, 0.4966], [0.5000, 0.5000, 0.5000], [0.6636, 0.6636, 0.0024], [0.0000, 0.0000, 0.0000]], "delta_e_f_kj_per_mol_fu": -18, "dos_at_fermi_per_ev_cell": 1.57}


# 10
{"formula": "HfMgSe2", "functional": "PBE-GGA", "state": "optimized geometry", "lattice_angstrom": [[-8.3440, 0.2549, 0.8004], [-7.1557, -0.7596, 4.3066], [-7.1422, 2.9364, 3.2702]], "species": ["Hf", "Se", "Mg", "Se"], "fractional_positions": [[0.0000, 0.0000, 0.0000], [0.8963, 0.8963, 0.8963], [0.5000, 0.5000, 0.5000], [0.1037, 0.1037, 0.1037]], "e_form_raw_ev_per_atom": -0.530, "dos_at_fermi_per_ev_cell": 0.24}


# 11
{"formula": "Dy8MgSc2", "functional": "PBE-GGA", "state": "optimized geometry", "lattice_angstrom": [[5.2428, 0.1720, -0.1146], [-0.3116, 7.5943, -2.8470], [0.1426, 1.0082, 8.0523]], "species": ["Dy", "Dy", "Dy", "Sc", "Dy", "Mg", "Dy", "Dy", "Sc", "Dy", "Dy"], "fractional_positions": [[0.5000, 0.6978, 0.9753], [0.5000, 0.0309, 0.3081], [0.0000, 0.6665, 0.6665], [0.5000, 0.6209, 0.3852], [0.0000, 0.2613, 0.7456], [0.0001, 0.0026, 0.0026], [0.0000, 0.7456, 0.2613], [0.9999, 0.3397, 0.3397], [0.5000, 0.3852, 0.6209], [0.5000, 0.9753, 0.6977], [0.5000, 0.3081, 0.0309]], "delta_e_f_kj_per_mol_fu": 152, "dos_at_fermi_per_ev_cell": 18.01}


# 12
{"formula": "CaMn2Ag", "functional": "PBE-GGA", "state": "optimized geometry", "lattice_angstrom": [[4.6223, -1.0028, 0.0692], [-3.0183, 6.4977, 1.1074], [0.2974, 1.3641, 3.1489]], "species": ["Mn", "Mn", "Ca", "Ag"], "fractional_positions": [[0.5000, 0.0000, 0.5000], [0.0000, 0.0000, 0.0000], [0.5000, 0.5000, 0.0000], [0.0000, 0.5000, 0.5000]], "delta_e_f_kj_per_mol_fu": 175, "dos_at_fermi_per_ev_cell": 3.08}


# 13
{"formula": "B5C", "functional": "PBE-GGA", "state": "optimized geometry", "lattice_angstrom": [[-2.3226, 0.1056, -0.9207], [1.5971, -1.7350, -0.8320], [-4.9477, -9.9898, 11.3357]], "species": ["B", "C", "B", "B", "B", "B", "B", "B", "B", "B", "B", "C"], "fractional_positions": [[0.0000, 0.0000, 0.4858], [0.3333, 0.6667, 0.0377], [0.6667, 0.3333, 0.3112], [0.6667, 0.3333, 0.7305], [0.0000, 0.0000, 0.3803], [0.0000, 0.0000, 0.9045], [0.6667, 0.3333, 0.2059], [0.3333, 0.6667, 0.1372], [0.6667, 0.3333, 0.8358], [0.3333, 0.6667, 0.6614], [0.3333, 0.6667, 0.5559], [0.0000, 0.0000, 0.0040]], "delta_e_f_kj_per_mol_fu": 338, "dos_at_fermi_per_ev_cell": 1.33}


# 14
{"formula": "Mg5GaHg", "functional": "PBE-GGA", "state": "optimized geometry", "lattice_angstrom": [[-3.5972, 1.0131, -2.7196], [-0.5548, -4.4911, -0.9406], [-8.9412, -1.2724, 11.3539]], "species": ["Mg", "Hg", "Mg", "Mg", "Mg", "Mg", "Mg", "Mg", "Ga", "Mg", "Mg", "Ga", "Mg", "Hg"], "fractional_positions": [[0.5016, 0.9962, 0.6132], [0.0000, 0.0000, 0.0000], [0.9962, 0.5016, 0.1132], [0.9982, 0.0018, 0.2500], [0.9962, 0.5016, 0.3868], [0.0038, 0.4984, 0.8868], [0.0018, 0.9982, 0.7500], [0.0038, 0.4984, 0.6132], [0.4970, 0.5030, 0.2500], [0.4984, 0.0038, 0.3868], [0.4984, 0.0038, 0.1132], [0.5030, 0.4970, 0.7500], [0.5016, 0.9962, 0.8868], [0.0000, 0.0000, 0.5000]], "delta_e_f_kj_per_mol_fu": -73, "dos_at_fermi_per_ev_cell": 5.51}


# 15
{"formula": "CsBe2C2", "functional": "PBE-GGA", "state": "optimized geometry", "lattice_angstrom": [[3.6347, 0.0000, 0.0000], [0.0000, 3.6347, 0.0000], [1.8174, 1.8174, 6.0547]], "species": ["C", "Be", "C", "Be", "Cs"], "fractional_positions": [[0.2500, 0.7500, 0.5000], [0.7318, 0.7318, 0.5364], [0.7500, 0.2500, 0.5000], [0.2682, 0.2682, 0.4636], [0.0000, 0.0000, 0.0000]], "delta_e_f_kj_per_mol_fu": 463, "dos_at_fermi_per_ev_cell": 1.83}


# 16
{"formula": "La2Zr", "functional": "PBE-GGA", "state": "optimized geometry", "lattice_angstrom": [[1.1862, 3.0262, 5.4284], [-5.8930, -0.9964, -2.0767], [-0.1441, -4.8572, 2.7393]], "species": ["La", "La", "Zr", "La", "La", "Zr"], "fractional_positions": [[0.5240, 0.8257, 0.2500], [0.4760, 0.1743, 0.7500], [0.1305, 0.1305, 0.2500], [0.1743, 0.4760, 0.7500], [0.8257, 0.5240, 0.2500], [0.8695, 0.8695, 0.7500]], "delta_e_f_kj_per_mol_fu": 41, "dos_at_fermi_per_ev_cell": 9.81}


# 17
{"formula": "MnBe2Ru", "functional": "PBE-GGA", "state": "optimized geometry", "lattice_angstrom": [[-1.2580, 3.6733, -0.3510], [-2.8923, -0.7484, 2.5048], [3.6835, -0.7118, 1.0058]], "species": ["Mn", "Ru", "Be", "Be"], "fractional_positions": [[0.5004, 0.4996, 0.0000], [0.7496, 0.2504, 0.5000], [0.9999, 0.0001, 0.0000], [0.2501, 0.7499, 0.5000]], "delta_e_f_kj_per_mol_fu": -53, "dos_at_fermi_per_ev_cell": 2.46}


# 18
{"formula": "SmPaIr", "functional": "PBE-GGA", "state": "optimized geometry", "lattice_angstrom": [[3.6107, 0.0000, 0.0000], [0.0000, 3.6107, 0.0000], [-1.8053, -1.8053, 5.5256]], "species": ["Sm", "Pa", "Ir"], "fractional_positions": [[0.9961, 0.9961, 0.9922], [0.6987, 0.6987, 0.3974], [0.3052, 0.3052, 0.6104]], "delta_e_f_kj_per_mol_fu": -141, "dos_at_fermi_per_ev_cell": 3.71}